Pm8Mg2Tl: relaxed, PBE.

Output
The calculation puts the volume at 696.08 Å³ per cell. The energy above the most stable polymorph in this dataset is 0.0 meV/atom. Its formation energy from the elements is -93.8 meV/atom. The uncorrected energy comes out at -4.054 eV/atom. For the size of the total moment, the calculation gives 0.000 μB per cell.

```
data_Pm8Mg2Tl
_cell_length_a 16.756
_cell_length_b 5.512
_cell_length_c 8.803
_cell_angle_alpha 90.00
_cell_angle_beta 121.12
_cell_angle_gamma 90.00
_symmetry_space_group_name_H-M 'C 1 2/m 1'
_symmetry_Int_Tables_number 12
_symmetry_space_group_name_Hall '-C 2y'
loop_
_atom_site_label
_atom_site_type_symbol
_atom_site_fract_x
_atom_site_fract_y
_atom_site_fract_z
Pm1 Pm 0.069 0.000 0.220
Pm2 Pm 0.090 0.500 0.949
Pm3 Pm 0.137 0.000 0.684
Pm4 Pm 0.182 0.500 0.446
Mg1 Mg 0.229 0.000 0.115
Tl1 Tl 0.000 0.500 0.500
```